{
  "formula": "WBr3O",
  "functional": "PBE+U",
  "state": "optimized geometry",
  "energy_ev_per_atom": -3.115,
  "dos_at_fermi_per_ev_atom": 2.275,
  "magnetic_moment_mub_per_cell": 1.00,
  "lattice_angstrom": [[5.3056, 0.0000, 0.0000], [0.0000, 5.3056, 0.0000], [0.0000, 0.0000, 5.3056]],
  "species": ["W", "Br", "Br", "Br", "O"],
  "fractional_positions": [[0.0000, 0.0000, 0.0000], [0.0000, 0.0000, 0.5000], [0.0000, 0.5000, 0.0000], [0.5000, 0.0000, 0.0000], [0.5000, 0.5000, 0.5000]]
}